*i*
A relaxed structure of Tm2Ga5Rh3, computed with PBE.

a = 5.618 Å, b = 8.572 Å, c = 8.572 Å
α = 69.47°, β = 70.87°, γ = 70.87°
Fractional coordinates of all 20 atoms:
Ga: 0.051 0.199 0.199
Rh: 0.347 0.569 0.736
Ga: 0.917 0.900 0.266
Ga: 0.083 0.100 0.734
Tm: 0.854 0.421 0.871
Rh: 0.750 0.000 0.000
Rh: 0.847 0.736 0.569
Ga: 0.551 0.199 0.199
Rh: 0.153 0.264 0.431
Ga: 0.449 0.801 0.801
Tm: 0.146 0.579 0.129
Rh: 0.250 0.000 0.000
Ga: 0.750 0.500 0.500
Ga: 0.949 0.801 0.801
Rh: 0.653 0.431 0.264
Ga: 0.417 0.266 0.900
Ga: 0.583 0.734 0.100
Ga: 0.250 0.500 0.500
Tm: 0.354 0.871 0.421
Tm: 0.646 0.129 0.579



*ii*
A relaxed structure of Tm2Ga5Rh3, computed with PBE.

a = 4.266 Å, b = 6.782 Å, c = 12.339 Å
α = 90.00°, β = 99.96°, γ = 90.00°
Fractional coordinates of all 20 atoms:
Ga: 0.398 0.413 0.797
Ga: 0.295 0.891 0.589
Ga: 0.052 0.606 0.104
Tm: 0.478 0.779 0.956
Tm: 0.176 0.706 0.353
Rh: 0.771 0.688 0.543
Ga: 0.709 0.994 0.419
Rh: 0.229 0.188 0.457
Ga: 0.291 0.494 0.581
Ga: 0.126 0.263 0.251
Tm: 0.824 0.206 0.647
Rh: 0.951 0.493 0.902
Ga: 0.705 0.391 0.411
Rh: 0.392 0.031 0.783
Ga: 0.602 0.913 0.203
Ga: 0.948 0.106 0.896
Rh: 0.049 0.993 0.098
Tm: 0.522 0.279 0.044
Ga: 0.874 0.763 0.749
Rh: 0.608 0.531 0.217



Most stable = *i*



*i*
A relaxed structure of TmGaRh4, computed with PBE.

a = 2.942 Å, b = 4.499 Å, c = 7.629 Å
α = 90.00°, β = 90.01°, γ = 90.00°
Fractional coordinates of all 6 atoms:
Rh: 0.501 0.997 0.230
Rh: 0.001 0.497 0.690
Tm: 0.501 0.497 0.998
Rh: 0.001 0.497 0.307
Ga: 0.001 0.997 0.498
Rh: 0.501 0.997 0.767



*ii*
A relaxed structure of TmGaRh4, computed with PBE.

a = 5.209 Å, b = 5.209 Å, c = 5.209 Å
α = 60.00°, β = 60.00°, γ = 60.00°
Fractional coordinates of all 6 atoms:
Rh: 0.626 0.626 0.626
Rh: 0.123 0.626 0.626
Tm: 0.250 0.250 0.250
Rh: 0.626 0.123 0.626
Ga: 0.000 0.000 0.000
Rh: 0.626 0.626 0.123



Most stable = *ii*



*i*
A relaxed structure of Tm2Ga3Rh, computed with PBE.

a = 4.294 Å, b = 5.566 Å, c = 5.711 Å
α = 76.16°, β = 67.92°, γ = 67.31°
Fractional coordinates of all 6 atoms:
Ga: 0.843 0.619 0.696
Tm: 0.547 0.213 0.692
Ga: 0.833 0.226 0.108
Ga: 0.164 0.767 0.904
Tm: 0.452 0.798 0.297
Rh: 0.160 0.378 0.302



*ii*
A relaxed structure of Tm2Ga3Rh, computed with PBE.

a = 4.667 Å, b = 5.585 Å, c = 6.019 Å
α = 117.65°, β = 112.81°, γ = 90.00°
Fractional coordinates of all 6 atoms:
Rh: 0.000 0.500 0.000
Tm: 0.692 0.192 0.384
Ga: 0.630 0.630 0.260
Tm: 0.308 0.808 0.616
Ga: 0.370 0.370 0.740
Ga: 0.000 0.000 0.000



Most stable = *i*